[1]
K2CdSn3 | PBE | relaxed

Structure (CIF):
```
data_K2CdSn3
_cell_length_a 12.171
_cell_length_b 5.215
_cell_length_c 8.455
_cell_angle_alpha 90.00
_cell_angle_beta 133.98
_cell_angle_gamma 90.00
_symmetry_space_group_name_H-M 'C 1 m 1'
_symmetry_Int_Tables_number 8
loop_
_symmetry_equiv_pos_as_xyz
'x,y,z'
'x,-y,z'
'x+1/2,y+1/2,z'
'x+1/2,-y+1/2,z'
loop_
_atom_site_label
_atom_site_type_symbol
_atom_site_fract_x
_atom_site_fract_y
_atom_site_fract_z
K1 K 0.000 0.000 0.000
K2 K 0.005 0.500 0.362
Cd1 Cd 0.173 0.000 0.766
Sn1 Sn 0.171 0.500 0.938
Sn2 Sn 0.324 0.000 0.597
Sn3 Sn 0.331 0.500 0.409
```

Summary:
Magnetization (μB/atom): 0.00
Final energy (eV/cell): -33.05

[2]
In2AuBr | PBE | relaxed

Structure (CIF):
```
data_In2AuBr
_cell_length_a 6.657
_cell_length_b 6.657
_cell_length_c 13.810
_cell_angle_alpha 90.00
_cell_angle_beta 90.00
_cell_angle_gamma 90.00
_symmetry_space_group_name_H-M 'I -4 2 d'
_symmetry_Int_Tables_number 122
_symmetry_space_group_name_Hall 'I -4 2bw'
loop_
_atom_site_label
_atom_site_type_symbol
_atom_site_fract_x
_atom_site_fract_y
_atom_site_fract_z
In1 In 0.198 0.250 0.125
Au1 Au 0.000 0.000 0.000
Br1 Br 0.000 0.000 0.500
```

Summary:
Magnetization (μB/atom): 0.00
Final energy (eV/cell): -45.49
Raw formation energy (eV per formula unit): -0.946

[3]
LiLuHfZn | PBE | relaxed

Structure (CIF):
```
data_LiLuHfZn
_cell_length_a 6.823
_cell_length_b 6.823
_cell_length_c 6.823
_cell_angle_alpha 90.00
_cell_angle_beta 90.00
_cell_angle_gamma 90.00
_symmetry_space_group_name_H-M 'F -4 3 m'
_symmetry_Int_Tables_number 216
_symmetry_space_group_name_Hall 'F -4 2 3'
loop_
_atom_site_label
_atom_site_type_symbol
_atom_site_fract_x
_atom_site_fract_y
_atom_site_fract_z
Li1 Li 0.000 0.000 0.000
Lu1 Lu 0.250 0.250 0.250
Hf1 Hf 0.250 0.250 0.750
Zn1 Zn 0.000 0.000 0.500
```

Summary:
Magnetization (μB/atom): 0.00
Final energy (eV/cell): -70.01

[4]
Lu2SiC | PBE | relaxed

Structure (CIF):
```
data_Lu2SiC
_cell_length_a 3.4767
_cell_length_b 3.4767
_cell_length_c 21.7047
_cell_angle_alpha 90.00
_cell_angle_beta 90.00
_cell_angle_gamma 120.00
_symmetry_space_group_name_H-M 'R -3 m'
_symmetry_Int_Tables_number 166
_symmetry_space_group_name_Hall '-R 3 2"'
loop_
_atom_site_label
_atom_site_type_symbol
_atom_site_fract_x
_atom_site_fract_y
_atom_site_fract_z
Lu1 Lu 0.0000 0.0000 0.2272
Si1 Si 0.0000 0.0000 0.0000
C1 C 0.0000 0.0000 0.5000
```

Summary:
Magnetization (μB/atom): 0.00
Final energy (eV/cell): -76.31
Raw formation energy (eV per formula unit): -1.747

[5]
RbPdRu3 | PBE | relaxed

Structure (CIF):
```
data_RbPdRu3
_cell_length_a 4.950
_cell_length_b 4.950
_cell_length_c 4.950
_cell_angle_alpha 90.00
_cell_angle_beta 90.00
_cell_angle_gamma 90.00
_symmetry_space_group_name_H-M 'P m -3 m'
_symmetry_Int_Tables_number 221
_symmetry_space_group_name_Hall '-P 4 2 3'
loop_
_atom_site_label
_atom_site_type_symbol
_atom_site_fract_x
_atom_site_fract_y
_atom_site_fract_z
Rb1 Rb 0.000 0.000 0.000
Pd1 Pd 0.500 0.500 0.500
Ru1 Ru 0.000 0.500 0.500
```

Summary:
Magnetization (μB/atom): 1.31
Final energy (eV/cell): -24.64

[6]
SrGd2Pu | PBE | relaxed

Structure (CIF):
```
data_SrGd2Pu
_cell_length_a 3.660
_cell_length_b 3.660
_cell_length_c 10.546
_cell_angle_alpha 90.00
_cell_angle_beta 90.00
_cell_angle_gamma 90.00
_symmetry_space_group_name_H-M 'P 4/m m m'
_symmetry_Int_Tables_number 123
_symmetry_space_group_name_Hall '-P 4 2'
loop_
_atom_site_label
_atom_site_type_symbol
_atom_site_fract_x
_atom_site_fract_y
_atom_site_fract_z
Sr1 Sr 0.000 0.000 0.000
Gd1 Gd 0.500 0.500 0.286
Pu1 Pu 0.000 0.000 0.500
```

Summary:
Magnetization (μB/atom): 5.27
Final energy (eV/cell): -43.43

[7]
V2OsN | PBE | relaxed

Structure (CIF):
```
data_V2OsN
_cell_length_a 2.8417
_cell_length_b 2.8417
_cell_length_c 19.6359
_cell_angle_alpha 90.00
_cell_angle_beta 90.00
_cell_angle_gamma 120.00
_symmetry_space_group_name_H-M 'R -3 m'
_symmetry_Int_Tables_number 166
_symmetry_space_group_name_Hall '-R 3 2"'
loop_
_atom_site_label
_atom_site_type_symbol
_atom_site_fract_x
_atom_site_fract_y
_atom_site_fract_z
V1 V 0.0000 0.0000 0.2238
Os1 Os 0.0000 0.0000 0.0000
N1 N 0.0000 0.0000 0.5000
```

Summary:
Magnetization (μB/atom): 0.00
Final energy (eV/cell): -121.76
Raw formation energy (eV per formula unit): -2.795

[8]
MgSiW2 | PBE | relaxed

Structure (CIF):
```
data_MgSiW2
_cell_length_a 3.264
_cell_length_b 3.264
_cell_length_c 5.945
_cell_angle_alpha 90.00
_cell_angle_beta 90.00
_cell_angle_gamma 90.00
_symmetry_space_group_name_H-M 'P 4 m m'
_symmetry_Int_Tables_number 99
loop_
_symmetry_equiv_pos_as_xyz
'x,y,z'
'-y,x,z'
'-x,-y,z'
'y,-x,z'
'-x,y,z'
'y,x,z'
'x,-y,z'
'-y,-x,z'
loop_
_atom_site_label
_atom_site_type_symbol
_atom_site_fract_x
_atom_site_fract_y
_atom_site_fract_z
Mg1 Mg 0.000 0.000 0.000
Si1 Si 0.500 0.500 0.255
W1 W 0.000 0.000 0.491
W2 W 0.500 0.500 0.725
```

Summary:
Magnetization (μB/atom): 0.00
Final energy (eV/cell): -32.36
Raw formation energy (eV per formula unit): 0.565

> Which value of final energy does entry 6 give?

-43.43 eV/cell